Entry 1:
Ag3AsI | GGA-PBEsol | optimized geometry

```
data_Ag3AsI
_cell_length_a 4.950
_cell_length_b 4.950
_cell_length_c 4.950
_cell_angle_alpha 90.00
_cell_angle_beta 90.00
_cell_angle_gamma 90.00
_space_group_name_H-M_alt 'P m -3 m'
_space_group_IT_number 221
_space_group_name_Hall '-P 4 2 3'
loop_
_atom_site_label
_atom_site_type_symbol
_atom_site_fract_x
_atom_site_fract_y
_atom_site_fract_z
_atom_site_occupancy
Ag1 Ag 0.000 0.000 0.500 1
As1 As 0.000 0.000 0.000 1
I1 I 0.500 0.500 0.500 1
```

Properties
The magnetic moment is 0.0 μB per cell. The value obtained for the energy is -3.07 eV/atom.

=====

Entry 2:
In4AgAs | GGA-PBEsol | optimized geometry

```
data_In4AgAs
_cell_length_a 8.374
_cell_length_b 8.374
_cell_length_c 8.374
_cell_angle_alpha 90.00
_cell_angle_beta 90.00
_cell_angle_gamma 90.00
_space_group_name_H-M_alt 'F -4 3 m'
_space_group_IT_number 216
_space_group_name_Hall 'F -4 2 3'
loop_
_atom_site_label
_atom_site_type_symbol
_atom_site_fract_x
_atom_site_fract_y
_atom_site_fract_z
_atom_site_occupancy
In1 In 0.125 0.125 0.125 1
Ag1 Ag 0.000 0.000 0.500 1
As1 As 0.250 0.250 0.750 1
```

Properties
The magnetic moment is 0.0 μB per cell. The value obtained for the formation energy from the elements is 0.3995 eV/atom.

=====

Entry 3:
InAg2As | GGA-PBEsol | optimized geometry

```
data_InAg2As
_cell_length_a 9.435
_cell_length_b 4.175
_cell_length_c 4.189
_cell_angle_alpha 90.00
_cell_angle_beta 114.89
_cell_angle_gamma 90.00
_space_group_name_H-M_alt 'C 1 m 1'
_space_group_IT_number 8
_space_group_name_Hall 'C -2y'
loop_
_atom_site_label
_atom_site_type_symbol
_atom_site_fract_x
_atom_site_fract_y
_atom_site_fract_z
_atom_site_occupancy
In1 In 0.000 0.000 0.000 1
Ag1 Ag 0.000 0.500 0.499 1
Ag2 Ag 0.250 0.500 0.248 1
As1 As 0.250 0.000 0.742 1
```

Properties
The magnetic moment is 0.0 μB per cell. The value obtained for the formation energy from the elements is 0.0739 eV/atom.

=====

Entry 4:
AgAs2Ir | GGA-PBEsol | optimized geometry

```
data_AgAs2Ir
_cell_length_a 2.927
_cell_length_b 2.927
_cell_length_c 8.016
_cell_angle_alpha 90.00
_cell_angle_beta 90.00
_cell_angle_gamma 90.00
_space_group_name_H-M_alt 'P 4 m m'
_space_group_IT_number 99
_space_group_name_Hall 'P 4 -2'
loop_
_atom_site_label
_atom_site_type_symbol
_atom_site_fract_x
_atom_site_fract_y
_atom_site_fract_z
_atom_site_occupancy
Ag1 Ag 0.000 0.000 0.000 1
As1 As 0.000 0.000 0.568 1
As2 As 0.500 0.500 0.242 1
Ir1 Ir 0.500 0.500 0.743 1
```

Properties
As for the relative energy among the computed polymorphs: 0 meV/atom. The magnetic moment is 0.0 μB per cell. The value obtained for the formation energy from the elements is 0.1247 eV/atom.

=====

Entry 5:
AgAs2Ir | GGA-PBEsol | optimized geometry

```
data_AgAs2Ir
_cell_length_a 6.390
_cell_length_b 6.390
_cell_length_c 6.390
_cell_angle_alpha 90.00
_cell_angle_beta 90.00
_cell_angle_gamma 90.00
_space_group_name_H-M_alt 'F -4 3 m'
_space_group_IT_number 216
_space_group_name_Hall 'F -4 2 3'
loop_
_atom_site_label
_atom_site_type_symbol
_atom_site_fract_x
_atom_site_fract_y
_atom_site_fract_z
_atom_site_occupancy
Ag1 Ag 0.000 0.000 0.000 1
As1 As 0.000 0.000 0.500 1
As2 As 0.250 0.250 0.250 1
Ir1 Ir 0.250 0.250 0.750 1
```

Properties
As for the relative energy among the computed polymorphs: 413 meV/atom. The magnetic moment is 0.0 μB per cell. The value obtained for the formation energy from the elements is 0.5372 eV/atom.

=====

Entry 6:
AgAs2Ir | GGA-PBEsol | optimized geometry

```
data_AgAs2Ir
_cell_length_a 2.854
_cell_length_b 4.864
_cell_length_c 9.769
_cell_angle_alpha 90.00
_cell_angle_beta 90.00
_cell_angle_gamma 90.00
_space_group_name_H-M_alt 'C m m 2'
_space_group_IT_number 35
_space_group_name_Hall 'C 2 -2'
loop_
_atom_site_label
_atom_site_type_symbol
_atom_site_fract_x
_atom_site_fract_y
_atom_site_fract_z
_atom_site_occupancy
Ag1 Ag 0.000 0.000 0.000 1
As1 As 0.000 0.000 0.455 1
As2 As 0.000 0.500 0.756 1
Ir1 Ir 0.000 0.500 0.246 1
```

Properties
As for the relative energy among the computed polymorphs: 152 meV/atom. The magnetic moment is 0.0 μB per cell. The value obtained for the formation energy from the elements is 0.2765 eV/atom.